# Ti2GaHRh | the Alexandria database | PBE-GGA | optimized geometry
data_Ti2GaHRh
_cell_length_a 4.0234
_cell_length_b 4.0234
_cell_length_c 3.9019
_cell_angle_alpha 90.00
_cell_angle_beta 90.00
_cell_angle_gamma 90.00
_symmetry_space_group_name_H-M 'P 4/m m m'
_symmetry_Int_Tables_number 123
_symmetry_space_group_name_Hall '-P 4 2'
loop_
_atom_site_label
_atom_site_type_symbol
_atom_site_fract_x
_atom_site_fract_y
_atom_site_fract_z
Ti1 Ti 0.0000 0.5000 0.0000
Ga1 Ga 0.0000 0.0000 0.5000
H1 H 0.5000 0.5000 0.0000
Rh1 Rh 0.5000 0.5000 0.5000
# Calculated total energy in eV per atom: -6.448
# Energy above the most stable polymorph in this dataset in eV per atom: 0.000

***

# Ti2GaHRh | the Alexandria database | PBE-GGA | optimized geometry
data_Ti2GaHRh
_cell_length_a 3.8564
_cell_length_b 3.8564
_cell_length_c 4.2180
_cell_angle_alpha 90.00
_cell_angle_beta 90.00
_cell_angle_gamma 90.00
_symmetry_space_group_name_H-M 'P 4/m m m'
_symmetry_Int_Tables_number 123
_symmetry_space_group_name_Hall '-P 4 2'
loop_
_atom_site_label
_atom_site_type_symbol
_atom_site_fract_x
_atom_site_fract_y
_atom_site_fract_z
Ti1 Ti 0.0000 0.5000 0.0000
Ga1 Ga 0.0000 0.0000 0.5000
H1 H 0.0000 0.0000 0.0000
Rh1 Rh 0.5000 0.5000 0.5000
# Calculated total energy in eV per atom: -6.349
# Energy above the most stable polymorph in this dataset in eV per atom: 0.098

***

# TiGaHRh2 | the Alexandria database | PBE-GGA | optimized geometry
data_TiGaHRh2
_cell_length_a 3.9883
_cell_length_b 3.9883
_cell_length_c 3.8244
_cell_angle_alpha 90.00
_cell_angle_beta 90.00
_cell_angle_gamma 90.00
_symmetry_space_group_name_H-M 'P 4/m m m'
_symmetry_Int_Tables_number 123
_symmetry_space_group_name_Hall '-P 4 2'
loop_
_atom_site_label
_atom_site_type_symbol
_atom_site_fract_x
_atom_site_fract_y
_atom_site_fract_z
Ti1 Ti 0.0000 0.0000 0.0000
Ga1 Ga 0.5000 0.5000 0.0000
H1 H 0.0000 0.0000 0.5000
Rh1 Rh 0.0000 0.5000 0.5000
# Calculated total energy in eV per atom: -6.325

***

# VGaHRh2 | the Alexandria database | PBE-GGA | optimized geometry
data_VGaHRh2
_cell_length_a 3.9668
_cell_length_b 3.9668
_cell_length_c 3.7610
_cell_angle_alpha 90.00
_cell_angle_beta 90.00
_cell_angle_gamma 90.00
_symmetry_space_group_name_H-M 'P 4/m m m'
_symmetry_Int_Tables_number 123
_symmetry_space_group_name_Hall '-P 4 2'
loop_
_atom_site_label
_atom_site_type_symbol
_atom_site_fract_x
_atom_site_fract_y
_atom_site_fract_z
V1 V 0.0000 0.0000 0.0000
Ga1 Ga 0.5000 0.5000 0.0000
H1 H 0.0000 0.0000 0.5000
Rh1 Rh 0.0000 0.5000 0.5000
# Calculated total energy in eV per atom: -6.343